Entry 1:
Material: MgCrW2
Method: DFT, PBE-GGA
State: relaxed

Values from the calculation:
Spin magnetization: 0.00 μB/cell
DFT total energy: -35.6 eV for the cell shown
Calculated volume: 61.8 Å³/f.u.
Energy above the lowest structure with this stoichiometry: 0.336 eV per formula unit
Mass density: 11.93 g cm⁻³

Cell: 2.675 4.423 5.302 Å, 90.00 99.74 90.00°
Positions (direct):
Mg  0.000  0.000  0.000
Cr  0.206  0.500  0.743
W  0.443  0.000  0.514
W  0.699  0.500  0.265



Entry 2:
Material: Pm4Nd5Sm3
Method: DFT, PBE-GGA
State: relaxed

Values from the calculation:
Spin magnetization: 0.00 μB/cell
DFT total energy: -56.9 eV for the cell shown
Calculated volume: 415.4 Å³/f.u.
Energy above the lowest structure with this stoichiometry: 0.000 eV per formula unit
Mass density: 7.00 g cm⁻³

Cell: 6.339 7.308 8.967 Å, 90.01 90.13 90.05°
Positions (direct):
Pm  0.166  0.250  0.166
Pm  0.333  0.500  0.834
Pm  0.667  0.500  0.166
Pm  0.834  0.750  0.834
Nd  0.000  0.500  0.500
Nd  0.333  0.000  0.834
Nd  0.500  0.250  0.500
Nd  0.500  0.750  0.500
Nd  0.667  0.000  0.166
Sm  0.000  0.000  0.500
Sm  0.167  0.750  0.166
Sm  0.833  0.250  0.834



Entry 3:
Material: In2SnTe3
Method: DFT, PBE-GGA
State: relaxed

Values from the calculation:
Spin magnetization: 0.00 μB/cell
Formation energy from raw total energies: -82 kJ/mol of formula units
DFT total energy: -39.5 eV for the cell shown
Calculated volume: 231.1 Å³/f.u.
Mass density: 5.25 g cm⁻³

Cell: 8.141 4.396 12.941 Å, 90.00 93.88 90.00°
Positions (direct):
In  0.116  0.250  0.439
In  0.363  0.750  0.924
In  0.637  0.250  0.076
In  0.884  0.750  0.561
Sn  0.268  0.250  0.671
Sn  0.732  0.750  0.329
Te  0.076  0.750  0.774
Te  0.352  0.750  0.441
Te  0.437  0.750  0.158
Te  0.563  0.250  0.842
Te  0.648  0.250  0.559
Te  0.924  0.250  0.226



DOS(E_F) readings, ordered: 2.3; 18.0; 3.1 states/eV/cell